Record 1
DFT (GGA-PBEsol) results for a relaxed FeP2Cl crystal.

a b c (Å): 3.3018 3.3018 6.4630
angles (deg): 104.80 104.80 90.00
With the nearest neighbours (Å) after each atom.
Fractional positions:
Cl  0.5000  0.5000  0.0000  4 Fe 2.33
P  0.7500  0.2500  0.5000  4 P 2.33
P  0.2500  0.7500  0.5000  4 P 2.33
Fe  0.0000  0.0000  0.0000  4 Cl 2.33

Results
Formation energy (no corrections), eV/atom: 0.40
VASP energy, eV for the cell shown: -21.0
Space-group type: I4/mmm, No. 139
Magnetization, μB per formula unit: 3.50


Record 2
DFT (GGA-PBEsol) results for a relaxed FeP2Cl crystal.

a b c (Å): 3.0439 3.0439 6.6721
angles (deg): 90.00 90.00 90.00
With the nearest neighbours (Å) after each atom.
Fractional positions:
P  0.5000  0.5000  0.1494  1 Fe 2.35, 4 P 2.39
P  0.0000  0.0000  0.9933  4 P 2.39, 4 Fe 2.52
Cl  0.0000  0.0000  0.5607  4 Fe 2.67, 1 P 2.89
Fe  0.5000  0.5000  0.7966  5 P 2.35-2.52

Results
Formation energy (no corrections), eV/atom: 0.06
VASP energy, eV for the cell shown: -22.3
Space-group type: P4mm, No. 99
Magnetization, μB per formula unit: 2.64


Record 3
DFT (GGA-PBEsol) results for a relaxed FePPbCl2 crystal.

a b c (Å): 4.6166 4.6166 4.7263
angles (deg): 90.00 90.00 90.00
With the nearest neighbours (Å) after each atom.
Fractional positions:
Pb  0.5000  0.5000  0.5000  4 P 3.26, 8 Cl 3.30
Cl  0.5000  0.0000  0.0000  2 Fe 2.31
Cl  0.0000  0.5000  0.0000  2 Fe 2.31
P  0.0000  0.0000  0.5000  2 Fe 2.36
Fe  0.0000  0.0000  0.0000  4 Cl 2.31, 2 P 2.36

Results
Formation energy (no corrections), eV/atom: -0.13
VASP energy, eV for the cell shown: -23.4
Space-group type: P4/mmm, No. 123
Magnetization, μB per formula unit: 3.12


Record 4
DFT (GGA-PBEsol) results for a relaxed FeP2PdCl crystal.

a b c (Å): 4.1652 4.1652 4.7756
angles (deg): 90.00 90.00 90.00
With the nearest neighbours (Å) after each atom.
Fractional positions:
Fe  0.0000  0.0000  0.0000  4 P 2.08
Pd  0.5000  0.5000  0.5000  4 Cl 2.95, 8 P 3.17
Cl  0.0000  0.0000  0.5000  2 Fe 2.39
P  0.5000  0.0000  0.0000  2 Fe 2.08
P  0.0000  0.5000  0.0000  2 Fe 2.08

Results
Formation energy (no corrections), eV/atom: 0.43
VASP energy, eV for the cell shown: -26.4
Space-group type: P4/mmm, No. 123
Magnetization, μB per formula unit: 0.19


Record 5
DFT (GGA-PBEsol) results for a relaxed FePSCl2 crystal.

a b c (Å): 4.5629 4.5629 4.7704
angles (deg): 90.00 90.00 90.00
With the nearest neighbours (Å) after each atom.
Fractional positions:
Fe  0.5000  0.5000  0.5000  4 P 3.23, 8 Cl 3.30
Cl  0.5000  0.0000  0.0000  2 S 2.28
Cl  0.0000  0.5000  0.0000  2 S 2.28
S  0.0000  0.0000  0.0000  4 Cl 2.28, 2 P 2.39
P  0.0000  0.0000  0.5000  2 S 2.39

Results
Formation energy (no corrections), eV/atom: 0.91
VASP energy, eV for the cell shown: -18.6
Space-group type: P4/mmm, No. 123
Magnetization, μB per formula unit: 4.03


Record 6
DFT (GGA-PBEsol) results for a relaxed FePSCl2 crystal.

a b c (Å): 4.2800 4.2800 4.7861
angles (deg): 90.00 90.00 90.00
With the nearest neighbours (Å) after each atom.
Fractional positions:
Cl  0.5000  0.0000  0.0000  2 Fe 2.14
Cl  0.0000  0.5000  0.0000  2 Fe 2.14
Fe  0.0000  0.0000  0.0000  4 Cl 2.14, 2 P 2.39
P  0.0000  0.0000  0.5000  2 Fe 2.39
S  0.5000  0.5000  0.5000  4 P 3.03, 8 Cl 3.21

Results
Formation energy (no corrections), eV/atom: 0.35
VASP energy, eV for the cell shown: -21.4
Space-group type: P4/mmm, No. 123
Magnetization, μB per formula unit: 1.95


Record 7
DFT (GGA-PBEsol) results for a relaxed FeSnP2Cl crystal.

a b c (Å): 4.2704 4.2704 5.0365
angles (deg): 90.00 90.00 90.00
With the nearest neighbours (Å) after each atom.
Fractional positions:
P  0.5000  0.0000  0.0000  2 Fe 2.14
P  0.0000  0.5000  0.0000  2 Fe 2.14
Cl  0.0000  0.0000  0.5000  2 Fe 2.52
Fe  0.0000  0.0000  0.0000  4 P 2.14
Sn  0.5000  0.5000  0.5000  4 Cl 3.02, 8 P 3.30

Results
Formation energy (no corrections), eV/atom: 0.15
VASP energy, eV for the cell shown: -26.1
Space-group type: P4/mmm, No. 123
Magnetization, μB per formula unit: 0.00


Record 8
DFT (GGA-PBEsol) results for a relaxed TaFeP2Cl crystal.

a b c (Å): 4.6738 4.7938 4.7938
angles (deg): 90.00 90.00 90.00
With the nearest neighbours (Å) after each atom.
Fractional positions:
Cl  0.5000  0.0000  0.0000  2 Ta 2.34
Ta  0.0000  0.0000  0.0000  2 Cl 2.34, 4 P 2.40
P  0.0000  0.5000  0.0000  2 Ta 2.40
P  0.0000  0.0000  0.5000  2 Ta 2.40
Fe  0.5000  0.5000  0.5000  8 P 3.35, 4 Cl 3.39

Results
Formation energy (no corrections), eV/atom: 0.65
VASP energy, eV for the cell shown: -31.9
Space-group type: P4/mmm, No. 123
Magnetization, μB per formula unit: 3.68


Record 9
DFT (GGA-PBEsol) results for a relaxed TiFeP2Cl crystal.

a b c (Å): 4.5567 4.6843 4.6843
angles (deg): 90.00 90.00 90.00
With the nearest neighbours (Å) after each atom.
Fractional positions:
P  0.0000  0.0000  0.5000  2 Ti 2.34
P  0.0000  0.5000  0.0000  2 Ti 2.34
Fe  0.5000  0.5000  0.5000  8 P 3.27, 4 Cl 3.31
Ti  0.0000  0.0000  0.0000  2 Cl 2.28, 4 P 2.34
Cl  0.5000  0.0000  0.0000  2 Ti 2.28

Results
Formation energy (no corrections), eV/atom: 0.43
VASP energy, eV for the cell shown: -28.7
Space-group type: P4/mmm, No. 123
Magnetization, μB per formula unit: 3.86


Record 10
DFT (GGA-PBEsol) results for a relaxed FeP2WCl crystal.

a b c (Å): 4.2340 4.2340 4.4268
angles (deg): 90.00 90.00 90.00
With the nearest neighbours (Å) after each atom.
Fractional positions:
W  0.5000  0.5000  0.5000  4 Cl 2.99, 8 P 3.06
P  0.5000  0.0000  0.0000  2 Fe 2.12
P  0.0000  0.5000  0.0000  2 Fe 2.12
Cl  0.0000  0.0000  0.5000  2 Fe 2.21
Fe  0.0000  0.0000  0.0000  4 P 2.12, 2 Cl 2.21

Results
Formation energy (no corrections), eV/atom: 1.07
VASP energy, eV for the cell shown: -31.0
Space-group type: P4/mmm, No. 123
Magnetization, μB per formula unit: 2.50


Record 11
DFT (GGA-PBEsol) results for a relaxed FePbCl2 crystal.

a b c (Å): 3.1010 3.1010 8.5736
angles (deg): 90.00 90.00 90.00
With the nearest neighbours (Å) after each atom.
Fractional positions:
Cl  0.0000  0.0000  0.8267  4 Fe 2.65
Cl  0.0000  0.0000  0.1733  4 Fe 2.65
Pb  0.5000  0.5000  0.5000  4 Pb 3.10
Fe  0.5000  0.5000  0.0000  8 Cl 2.65

Results
Formation energy (no corrections), eV/atom: -0.14
VASP energy, eV for the cell shown: -17.5
Space-group type: P4/mmm, No. 123
Magnetization, μB per formula unit: 3.47


Record 12
DFT (GGA-PBEsol) results for a relaxed FePbCl2 crystal.

a b c (Å): 4.6118 5.1286 4.6118
angles (deg): 63.28 90.00 116.72
With the nearest neighbours (Å) after each atom.
Fractional positions:
Pb  0.0000  0.0000  0.0000  8 Cl 3.04, 4 Fe 3.26
Cl  0.7500  0.5000  0.7500  4 Fe 3.04, 4 Pb 3.04, 4 Cl 3.26
Cl  0.2500  0.5000  0.2500  4 Pb 3.04, 4 Fe 3.04, 4 Cl 3.26
Fe  0.5000  0.0000  0.5000  8 Cl 3.04, 4 Pb 3.26

Results
Formation energy (no corrections), eV/atom: 0.15
VASP energy, eV for the cell shown: -16.4
Space-group type: I4/mmm, No. 139
Magnetization, μB per formula unit: 3.49


- Which formula does entry 3 have?
  FePPbCl2